A relaxed structure of CaBiI3. Source: Alexandria via LeMat-Bulk, functional PBE.

It has space group Pm-3m (No. 221), with a = 6.088 Å, b = 6.088 Å, c = 6.088 Å, α = 90.00°, β = 90.00° and γ = 90.00°. The distinct sites, in fractional coordinates, are Ca at (0.000, 0.000, 0.000), Bi at (0.500, 0.500, 0.500) and I at (0.000, 0.000, 0.500).

For the density, the calculation gives 4.63 Mg/m³. For the energy above the lowest structure with this stoichiometry, the calculation gives 0.0 meV/atom. As for the raw total energy: -2.635 eV per atom. The volume is 45.14 A^3/atom. Its formation energy from raw total energies is -0.528 eV/atom. Its crystal system is cubic.